Entry from the Open Quantum Materials Database: an optimized crystal structure of NaNbO3 (PBE-GGA).

abc: 5.5224 5.7076 8.3065
angles: 90.00 90.00 90.00
Sites, in units of the cell vectors:
Na: 0.5000 0.0000 0.0000
Na: 0.0000 0.5000 0.0000
Na: 0.5000 0.0000 0.5000
Na: 0.0000 0.5000 0.5000
Nb: 0.4740 0.4794 0.2500
Nb: 0.0260 0.9794 0.2500
Nb: 0.9740 0.0206 0.7500
Nb: 0.5260 0.5206 0.7500
O: 0.6461 0.3544 0.0855
O: 0.8539 0.8544 0.0855
O: 0.1688 0.3118 0.2500
O: 0.3312 0.8118 0.2500
O: 0.6461 0.3544 0.4145
O: 0.8539 0.8544 0.4145
O: 0.1461 0.1456 0.5855
O: 0.3539 0.6456 0.5855
O: 0.6688 0.1882 0.7500
O: 0.8312 0.6882 0.7500
O: 0.1461 0.1456 0.9145
O: 0.3539 0.6456 0.9145

Summary:
Total DFT energy (no corrections) in eV/cell: -149.28